A geometry-optimized InTeIO2 structure, computed with GGA-PBEsol.

Calculated volume ... 110.72 Å³/cell
Space-group type ... P4/mmm, No. 123
Crystal system ... tetragonal
Calculated total energy ... -4.05 eV/atom
Raw formation energy ... -0.298 eV/atom

The structure in CIF format:
```
data_InTeIO2
_chemical_formula_sum 'In1 Te1 I1 O2'
_cell_length_a 4.264
_cell_length_b 4.264
_cell_length_c 6.090
_cell_angle_alpha 90.00
_cell_angle_beta 90.00
_cell_angle_gamma 90.00
_symmetry_space_group_name_H-M 'P 1'
_symmetry_Int_Tables_number 1
_symmetry_space_group_name_Hall 'P 1'
loop_
_atom_site_label
_atom_site_type_symbol
_atom_site_fract_x
_atom_site_fract_y
_atom_site_fract_z
I1 I 0.000 0.000 0.500
Te1 Te 0.000 0.000 0.000
O1 O 0.000 0.500 0.000
O2 O 0.500 0.000 0.000
In1 In 0.500 0.500 0.500
```